1.
The following is a GGA-PBE calculation of a relaxed structure of Al5TcIr4, from Alexandria.

Unit cell a=3.0049 b=3.0049 c=15.2707 alpha=90.00 beta=90.00 gamma=90.00
Space group P4/mmm (No. 123)
Inequivalent atoms, fractional coordinates:
Al 0.0000 0.0000 0.0000 [1 per cell]
Al 0.0000 0.0000 0.2007 [2 per cell]
Al 0.0000 0.0000 0.4011 [2 per cell]
Tc 0.5000 0.5000 0.5000 [1 per cell]
Ir 0.5000 0.5000 0.0990 [2 per cell]
Ir 0.5000 0.5000 0.2974 [2 per cell]

## Properties
Calculated total energy: -72.8 eV for the cell shown
M_tot: 0.00 μB per formula unit
Fermi-level density of states: 4.89 states/eV per cell
Formation energy from the elements: -0.83 eV per atom


2.
The following is a GGA-PBE calculation of a relaxed structure of Al2TcIr, from Alexandria.

Unit cell a=3.1509 b=3.1509 c=5.8055 alpha=90.00 beta=90.00 gamma=90.00
Space group P4mm (No. 99)
Inequivalent atoms, fractional coordinates:
Al 0.0000 0.0000 0.0000 [1 per cell]
Al 0.5000 0.5000 0.2646 [1 per cell]
Tc 0.5000 0.5000 0.7847 [1 per cell]
Ir 0.0000 0.0000 0.4805 [1 per cell]

## Properties
Calculated total energy: -28.2 eV for the cell shown
Energy above the most stable polymorph in this dataset: 1.103 eV/f.u.
M_tot: 0.00 μB per formula unit
Fermi-level density of states: 3.86 states/eV per cell
Formation energy from the elements: -0.37 eV per atom


3.
The following is a GGA-PBE calculation of a relaxed structure of Al2TcIr, from Alexandria.

Unit cell a=2.9889 b=2.9889 c=6.2416 alpha=90.00 beta=90.00 gamma=90.00
Space group P4/mmm (No. 123)
Inequivalent atoms, fractional coordinates:
Al 0.0000 0.0000 0.2463 [2 per cell]
Tc 0.5000 0.5000 0.5000 [1 per cell]
Ir 0.5000 0.5000 0.0000 [1 per cell]

## Properties
Calculated total energy: -29.2 eV for the cell shown
Energy above the most stable polymorph in this dataset: 0.090 eV/f.u.
M_tot: 0.00 μB per formula unit
Fermi-level density of states: 3.78 states/eV per cell
Formation energy from the elements: -0.62 eV per atom


4.
The following is a GGA-PBE calculation of a relaxed structure of Al2TcIr, from Alexandria.

Unit cell a=9.5051 b=2.8331 c=4.5080 alpha=90.00 beta=109.22 gamma=90.00
Space group Cm (No. 8)
Inequivalent atoms, fractional coordinates:
Al 0.0000 0.0000 0.0000 [2 per cell]
Al 0.2305 0.0000 0.6123 [2 per cell]
Tc 0.4807 0.0000 0.4967 [2 per cell]
Ir 0.2445 0.5000 0.1083 [2 per cell]

## Properties
Calculated total energy: -57.9 eV for the cell shown
Energy above the most stable polymorph in this dataset: 0.306 eV/f.u.
M_tot: 0.00 μB per formula unit
Fermi-level density of states: 2.96 states/eV per cell
Formation energy from the elements: -0.57 eV per atom


5.
The following is a GGA-PBE calculation of a relaxed structure of Al2TcIr, from Alexandria.

Unit cell a=3.0157 b=4.1593 c=9.1104 alpha=90.00 beta=90.00 gamma=90.00
Space group Imm2 (No. 44)
Inequivalent atoms, fractional coordinates:
Al 0.0000 0.0000 0.0000 [2 per cell]
Al 0.0000 0.5000 0.2331 [2 per cell]
Tc 0.0000 0.0000 0.4855 [2 per cell]
Ir 0.0000 0.5000 0.7392 [2 per cell]

## Properties
Calculated total energy: -57.3 eV for the cell shown
Energy above the most stable polymorph in this dataset: 0.618 eV/f.u.
M_tot: 0.00 μB per formula unit
Fermi-level density of states: 4.61 states/eV per cell
Formation energy from the elements: -0.49 eV per atom


6.
The following is a GGA-PBE calculation of a relaxed structure of Al2TcIr, from Alexandria.

Unit cell a=2.8630 b=2.8630 c=24.6567 alpha=90.00 beta=90.00 gamma=120.00
Space group R-3m (No. 166, hexagonal axes)
Inequivalent atoms, fractional coordinates:
Al 0.0000 0.0000 0.2482 [6 per cell]
Tc 0.0000 0.0000 0.0000 [3 per cell]
Ir 0.0000 0.0000 0.5000 [3 per cell]

## Properties
Calculated total energy: -84.7 eV for the cell shown
Energy above the most stable polymorph in this dataset: 1.039 eV/f.u.
M_tot: 0.26 μB per formula unit
Fermi-level density of states: 13.22 states/eV per cell
Formation energy from the elements: -0.38 eV per atom


7.
The following is a GGA-PBE calculation of a relaxed structure of Al2TcIr, from Alexandria.

Unit cell a=2.8979 b=4.8364 c=8.3648 alpha=90.00 beta=90.00 gamma=90.00
Space group Immm (No. 71)
Inequivalent atoms, fractional coordinates:
Al 0.0000 0.0000 0.2468 [4 per cell]
Tc 0.0000 0.5000 0.0000 [2 per cell]
Ir 0.0000 0.5000 0.5000 [2 per cell]

## Properties
Calculated total energy: -56.0 eV for the cell shown
Energy above the most stable polymorph in this dataset: 1.285 eV/f.u.
M_tot: 0.32 μB per formula unit
Fermi-level density of states: 7.31 states/eV per cell
Formation energy from the elements: -0.32 eV per atom


8.
The following is a GGA-PBE calculation of a relaxed structure of Al2TcIr, from Alexandria.

Unit cell a=4.3180 b=4.3180 c=2.9876 alpha=90.00 beta=90.00 gamma=90.00
Space group P4/mmm (No. 123)
Inequivalent atoms, fractional coordinates:
Al 0.0000 0.5000 0.0000 [2 per cell]
Tc 0.0000 0.0000 0.5000 [1 per cell]
Ir 0.5000 0.5000 0.5000 [1 per cell]

## Properties
Calculated total energy: -29.3 eV for the cell shown
Energy above the most stable polymorph in this dataset: 0.000 eV/f.u.
M_tot: 0.00 μB per formula unit
Fermi-level density of states: 2.99 states/eV per cell
Formation energy from the elements: -0.64 eV per atom


9.
The following is a GGA-PBE calculation of a relaxed structure of AlTc3Ir, from Alexandria.

Unit cell a=4.3498 b=4.3498 c=4.3498 alpha=90.00 beta=90.00 gamma=90.00
Space group Pm-3m (No. 221)
Inequivalent atoms, fractional coordinates:
Al 0.0000 0.0000 0.0000 [1 per cell]
Tc 0.0000 0.0000 0.5000 [3 per cell]
Ir 0.5000 0.5000 0.5000 [1 per cell]

## Properties
Calculated total energy: -36.6 eV for the cell shown
Energy above the most stable polymorph in this dataset: 0.000 eV/f.u.
M_tot: 0.00 μB per formula unit
Fermi-level density of states: 7.96 states/eV per cell
Formation energy from the elements: 1.41 eV per atom


10.
The following is a GGA-PBE calculation of a relaxed structure of Al2TcIr, from Alexandria.

Unit cell a=2.7741 b=4.1010 c=5.1229 alpha=90.00 beta=93.80 gamma=90.00
Space group P2/m (No. 10)
Inequivalent atoms, fractional coordinates:
Al 0.2100 0.0000 0.2490 [2 per cell]
Tc 0.5000 0.5000 0.0000 [1 per cell]
Ir 0.0000 0.5000 0.5000 [1 per cell]

## Properties
Calculated total energy: -28.3 eV for the cell shown
Energy above the most stable polymorph in this dataset: 1.010 eV/f.u.
M_tot: 0.00 μB per formula unit
Fermi-level density of states: 2.48 states/eV per cell
Formation energy from the elements: -0.39 eV per atom


11.
The following is a GGA-PBE calculation of a relaxed structure of Al4TcIr, from Alexandria.

Unit cell a=7.0167 b=7.0167 c=7.0167 alpha=90.00 beta=90.00 gamma=90.00
Space group F-43m (No. 216)
Inequivalent atoms, fractional coordinates:
Al 0.1250 0.1250 0.1250 [16 per cell]
Tc 0.0000 0.0000 0.5000 [4 per cell]
Ir 0.2500 0.2500 0.7500 [4 per cell]

## Properties
Calculated total energy: -136.7 eV for the cell shown
Energy above the most stable polymorph in this dataset: 2.084 eV/f.u.
M_tot: 0.01 μB per formula unit
Fermi-level density of states: 23.21 states/eV per cell
Formation energy from the elements: 0.00 eV per atom


12.
The following is a GGA-PBE calculation of a relaxed structure of Al2TcIr, from Alexandria.

Unit cell a=2.9608 b=4.0989 c=4.7990 alpha=90.00 beta=90.00 gamma=90.00
Space group Pmmm (No. 47)
Inequivalent atoms, fractional coordinates:
Al 0.0000 0.0000 0.0000 [1 per cell]
Al 0.5000 0.0000 0.5000 [1 per cell]
Tc 0.0000 0.5000 0.5000 [1 per cell]
Ir 0.5000 0.5000 0.0000 [1 per cell]

## Properties
Calculated total energy: -28.1 eV for the cell shown
Energy above the most stable polymorph in this dataset: 1.210 eV/f.u.
M_tot: 0.00 μB per formula unit
Fermi-level density of states: 2.59 states/eV per cell
Formation energy from the elements: -0.34 eV per atom


13.
The following is a GGA-PBE calculation of a relaxed structure of Al8TcIr2, from Alexandria.

Unit cell a=4.1399 b=7.4652 c=10.7694 alpha=90.00 beta=90.00 gamma=90.00
Space group Immm (No. 71)
Inequivalent atoms, fractional coordinates:
Al 0.0000 0.0000 0.1391 [4 per cell]
Al 0.0000 0.2173 0.3410 [8 per cell]
Al 0.0000 0.3152 0.0000 [4 per cell]
Tc 0.0000 0.5000 0.5000 [2 per cell]
Ir 0.0000 0.5000 0.2035 [4 per cell]

## Properties
Calculated total energy: -129.6 eV for the cell shown
M_tot: 0.00 μB per formula unit
Fermi-level density of states: 4.14 states/eV per cell
Formation energy from the elements: -0.61 eV per atom


14.
The following is a GGA-PBE calculation of a relaxed structure of Al4TcIr2, from Alexandria.

Unit cell a=6.0370 b=6.0370 c=5.8891 alpha=90.00 beta=90.00 gamma=90.00
Space group I4/mmm (No. 139)
Inequivalent atoms, fractional coordinates:
Al 0.2500 0.2500 0.2500 [8 per cell]
Tc 0.0000 0.0000 0.0000 [2 per cell]
Ir 0.0000 0.5000 0.0000 [4 per cell]

## Properties
Calculated total energy: -95.5 eV for the cell shown
M_tot: 0.00 μB per formula unit
Fermi-level density of states: 3.77 states/eV per cell
Formation energy from the elements: -0.67 eV per atom